one.
Density functional theory data (PBE-GGA) for an optimized crystal structure of VReCl3.

Summary:
- Crystal system: cubic

Structure (extended XYZ):
```
5
Lattice="4.8216 0.0000 0.0000 0.0000 4.8216 0.0000 0.0000 0.0000 4.8216" Properties=species:S:1:pos:R:3 pbc="T T T"
V 0.0000 0.0000 0.0000
Re 2.4108 2.4108 2.4108
Cl 0.0000 2.4108 2.4108
Cl 2.4108 0.0000 2.4108
Cl 2.4108 2.4108 0.0000
```

***

two.
Density functional theory data (PBE-GGA) for an optimized crystal structure of VReCl3.

Summary:
- Crystal system: cubic

Structure (extended XYZ):
```
5
Lattice="4.9516 0.0000 0.0000 0.0000 4.9516 0.0000 0.0000 0.0000 4.9516" Properties=species:S:1:pos:R:3 pbc="T T T"
V 0.0000 0.0000 0.0000
Re 2.4758 2.4758 2.4758
Cl 0.0000 0.0000 2.4758
Cl 0.0000 2.4758 0.0000
Cl 2.4758 0.0000 0.0000
```

***

Least stable of them? one.